Entry 1:
Density functional theory data (SCAN) for LiBe3As at its PBEsol-relaxed geometry.

Values from the calculation:
Space-group type: No. 221
Energy of formation from the pure elements, eV per atom: 0.82

Lattice parameters (Å, degrees): 4.3096 4.3096 4.3096 90.00 90.00 90.00
Closest atoms and distances in Å follow each position.
Positions (direct):
Be  0.5000  0.0000  0.0000  2 As 2.15
Be  0.0000  0.0000  0.5000  2 As 2.15
Be  0.0000  0.5000  0.0000  2 As 2.15
Li  0.5000  0.5000  0.5000  12 Be 3.05
As  0.0000  0.0000  0.0000  6 Be 2.15

Entry 2:
Density functional theory data (SCAN) for PmMg16Al12 at its PBEsol-relaxed geometry.

Values from the calculation:
Space-group type: No. 217
Energy of formation from the pure elements, eV per atom: -0.08

Lattice parameters (Å, degrees): 9.0840 9.0840 9.0840 109.47 109.47 109.47
Closest atoms and distances in Å follow each position.
Positions (direct):
Mg  0.6805  0.3976  0.0000  5 Al 2.84-3.15, 7 Mg 3.00-3.15
Mg  0.3195  0.7171  0.3195  5 Al 2.84-3.15, 7 Mg 3.00-3.15
Mg  0.3601  0.3601  0.3601  3 Mg 3.00, 6 Al 3.16, 1 Pm 3.27
Mg  0.0000  0.6805  0.3976  5 Al 2.84-3.15, 7 Mg 3.00-3.15
Mg  0.0000  0.0000  0.6399  3 Mg 3.00, 6 Al 3.16, 1 Pm 3.27
Mg  0.6024  0.6024  0.2829  5 Al 2.84-3.15, 7 Mg 3.00-3.15
Mg  0.3976  0.0000  0.6805  5 Al 2.84-3.15, 7 Mg 3.00-3.15
Mg  0.6024  0.2829  0.6024  5 Al 2.84-3.15, 7 Mg 3.00-3.15
Mg  0.3976  0.6805  0.0000  5 Al 2.84-3.15, 7 Mg 3.00-3.15
Mg  0.7171  0.3195  0.3195  5 Al 2.84-3.15, 7 Mg 3.00-3.15
Mg  0.6399  0.0000  0.0000  3 Mg 3.00, 6 Al 3.16, 1 Pm 3.27
Mg  0.0000  0.6399  0.0000  3 Mg 3.00, 6 Al 3.16, 1 Pm 3.27
Mg  0.2829  0.6024  0.6024  5 Al 2.84-3.15, 7 Mg 3.00-3.15
Mg  0.3195  0.3195  0.7171  5 Al 2.84-3.15, 7 Mg 3.00-3.15
Mg  0.0000  0.3976  0.6805  5 Al 2.84-3.15, 7 Mg 3.00-3.15
Mg  0.6805  0.0000  0.3976  5 Al 2.84-3.15, 7 Mg 3.00-3.15
Al  0.6310  0.6310  0.8182  3 Al 2.70-2.78, 3 Mg 2.84-2.98
Al  0.6310  0.8182  0.6310  3 Al 2.70-2.78, 3 Mg 2.84-2.98
Al  0.1872  0.0000  0.3690  3 Al 2.70-2.78, 3 Mg 2.84-2.98
Al  0.3690  0.0000  0.1872  3 Al 2.70-2.78, 3 Mg 2.84-2.98
Al  0.1818  0.8128  0.8128  3 Al 2.70-2.78, 3 Mg 2.84-2.98
Al  0.0000  0.1872  0.3690  3 Al 2.70-2.78, 3 Mg 2.84-2.98
Al  0.3690  0.1872  0.0000  3 Al 2.70-2.78, 3 Mg 2.84-2.98
Al  0.1872  0.3690  0.0000  3 Al 2.70-2.78, 3 Mg 2.84-2.98
Al  0.8182  0.6310  0.6310  3 Al 2.70-2.78, 3 Mg 2.84-2.98
Al  0.8128  0.8128  0.1818  3 Al 2.70-2.78, 3 Mg 2.84-2.98
Al  0.0000  0.3690  0.1872  3 Al 2.70-2.78, 3 Mg 2.84-2.98
Al  0.8128  0.1818  0.8128  3 Al 2.70-2.78, 3 Mg 2.84-2.98
Pm  0.0000  0.0000  0.0000  12 Al 3.21, 4 Mg 3.27

Entry 3:
Density functional theory data (SCAN) for SrLi2Si at its PBEsol-relaxed geometry.

Values from the calculation:
Space-group type: No. 160
Uncorrected formation energy, eV/atom: -0.28

Lattice parameters (Å, degrees): 4.5578 4.5578 5.8159 66.93 66.93 60.00
Closest atoms and distances in Å follow each position.
Positions (direct):
Li  0.0548  0.0548  0.8355  3 Li 2.69, 3 Si 2.77, 1 Sr 2.86
Li  0.7589  0.7589  0.7234  3 Si 2.65, 3 Li 2.69
Si  0.4443  0.4443  0.6670  6 Li 2.65-2.77
Sr  0.2389  0.2389  0.2833  1 Li 2.86, 1 Si 3.20

Number 1: DOS at the Fermi energy 0.460 states/eV/atom. Number 2: DOS at the Fermi energy 0.360 states/eV/atom. Number 3: DOS at the Fermi energy 0.095 states/eV/atom.